DFT (PBE-GGA) results for an optimized crystal structure of Al4Zn2Ga.

```
data_Al4Zn2Ga
_space_group_name_H-M_alt 'I 4/m m m'
_space_group_IT_number 139
_space_group_name_Hall '-I 4 2'
_cell_length_a 5.011
_cell_length_b 5.011
_cell_length_c 12.472
_cell_angle_alpha 90.00
_cell_angle_beta 90.00
_cell_angle_gamma 90.00
loop_
_atom_site_label
_atom_site_fract_x
_atom_site_fract_y
_atom_site_fract_z
Al1 0.000 0.000 0.199
Al2 0.000 0.500 0.000
Zn1 0.000 0.000 0.398
Ga1 0.000 0.000 0.000
```

Results
raw total energy = -2.444 eV per atom
calculated volume = 22.37 Å³ per atom
formation energy from the elements = 0.49 eV per atom
density of states at the Fermi level = 4.86 states/eV/cell
relative energy among the computed polymorphs = 469 meV per atom

---

DFT (PBE-GGA) results for an optimized crystal structure of AlZnGa4.

```
data_AlZnGa4
_space_group_name_H-M_alt 'C 1 2/c 1'
_space_group_IT_number 15
_cell_length_a 7.880
_cell_length_b 11.975
_cell_length_c 4.980
_cell_angle_alpha 90.00
_cell_angle_beta 110.16
_cell_angle_gamma 90.00
loop_
_space_group_symop_operation_xyz
'x,y,z'
'-x,-y,-z'
'-x,y,-z+1/2'
'x,-y,z+1/2'
'x+1/2,y+1/2,z'
'-x+1/2,-y+1/2,-z'
'-x+1/2,y+1/2,-z+1/2'
'x+1/2,-y+1/2,z+1/2'
loop_
_atom_site_label
_atom_site_fract_x
_atom_site_fract_y
_atom_site_fract_z
Al1 0.000 0.136 0.250
Zn1 0.000 0.458 0.250
Ga1 0.150 0.298 0.669
Ga2 0.189 0.069 0.851
```

Results
raw total energy = -2.795 eV per atom
calculated volume = 18.38 Å³ per atom
formation energy from the elements = 0.06 eV per atom
density of states at the Fermi level = 7.91 states/eV/cell
relative energy among the computed polymorphs = 14 meV per atom

---

DFT (PBE-GGA) results for an optimized crystal structure of AlZn5Ga2.

```
data_AlZn5Ga2
_space_group_name_H-M_alt 'P b a m'
_space_group_IT_number 55
_cell_length_a 5.927
_cell_length_b 10.981
_cell_length_c 3.941
_cell_angle_alpha 90.00
_cell_angle_beta 90.00
_cell_angle_gamma 90.00
loop_
_space_group_symop_operation_xyz
'x,y,z'
'-x,-y,-z'
'-x,-y,z'
'x,y,-z'
'x+1/2,-y+1/2,-z'
'-x+1/2,y+1/2,z'
'-x+1/2,y+1/2,-z'
'x+1/2,-y+1/2,z'
loop_
_atom_site_label
_atom_site_fract_x
_atom_site_fract_y
_atom_site_fract_z
Al1 0.000 0.000 0.000
Zn1 0.000 0.251 0.000
Zn2 0.000 0.500 0.000
Zn3 0.248 0.375 0.500
Ga1 0.249 0.626 0.500
```

Results
raw total energy = -1.978 eV per atom
calculated volume = 16.03 Å³ per atom
formation energy from the elements = 0.04 eV per atom
density of states at the Fermi level = 5.09 states/eV/cell

---

DFT (PBE-GGA) results for an optimized crystal structure of AlZn8Ga2.

```
data_AlZn8Ga2
_space_group_name_H-M_alt 'C 1 2/m 1'
_space_group_IT_number 12
_cell_length_a 14.214
_cell_length_b 3.982
_cell_length_c 6.353
_cell_angle_alpha 90.00
_cell_angle_beta 104.42
_cell_angle_gamma 90.00
loop_
_space_group_symop_operation_xyz
'x,y,z'
'-x,-y,-z'
'-x,y,-z'
'x,-y,z'
'x+1/2,y+1/2,z'
'-x+1/2,-y+1/2,-z'
'-x+1/2,y+1/2,-z'
'x+1/2,-y+1/2,z'
loop_
_atom_site_label
_atom_site_fract_x
_atom_site_fract_y
_atom_site_fract_z
Al1 0.000 0.000 0.000
Zn1 0.041 0.500 0.722
Zn2 0.088 0.000 0.448
Zn3 0.135 0.500 0.167
Zn4 0.180 0.000 0.904
Ga1 0.227 0.500 0.641
```

Results
raw total energy = -1.786 eV per atom
calculated volume = 15.83 Å³ per atom
formation energy from the elements = 0.03 eV per atom
density of states at the Fermi level = 5.28 states/eV/cell